## CrCdRh2 (SCAN)

Data for a crystal of CrCdRh2 relaxed with PBEsol.

Output
- Spin magnetization: 0.00 μB per formula unit
- Volume: 56.37 Å³/cell
- Energy of formation: -0.101 eV per atom
- Total DFT energy (no corrections): -29.186 eV/atom
- Density of states at the Fermi level: 2.942 states/eV/cell
- Crystal system: tetragonal

abc: 2.755 2.755 7.428
angles: 90.00 90.00 90.00
Space group P4/mmm (No. 123)
One atom of each set of equivalent atoms:
Cr 0.000 0.000 0.000
Cd 0.000 0.000 0.500
Rh 0.500 0.500 0.217